[1]
# Cd2InCuTe4 (GGA-PBE, relaxed)
data_Cd2InCuTe4
_chemical_formula_sum 'Cd4 In2 Cu2 Te8'
_symmetry_space_group_name_H-M 'I -4 2 m'
_symmetry_Int_Tables_number 121
_symmetry_space_group_name_Hall 'I -4 2'
_cell_length_a 6.4394
_cell_length_b 6.4394
_cell_length_c 13.0064
_cell_angle_alpha 90.00
_cell_angle_beta 90.00
_cell_angle_gamma 90.00
loop_
_atom_site_label
_atom_site_fract_x
_atom_site_fract_y
_atom_site_fract_z
_atom_site_occupancy
Cd1 0.0000 0.5000 0.2500 1
In1 0.0000 0.0000 0.0000 1
Cu1 0.0000 0.0000 0.5000 1
Te1 0.2335 0.2335 0.3827 1
# raw formation energy	-0.360	eV/atom
# total magnetic moment	0.00	μB per cell
# uncorrected energy	-3.014	eV/atom

[2]
# GaRe2Ag2 (GGA-PBE, relaxed)
data_GaRe2Ag2
_chemical_formula_sum 'Ga2 Re4 Ag4'
_symmetry_space_group_name_H-M 'P 4/m b m'
_symmetry_Int_Tables_number 127
_symmetry_space_group_name_Hall '-P 4 2ab'
_cell_length_a 8.5218
_cell_length_b 8.5218
_cell_length_c 2.6049
_cell_angle_alpha 90.00
_cell_angle_beta 90.00
_cell_angle_gamma 90.00
loop_
_atom_site_label
_atom_site_fract_x
_atom_site_fract_y
_atom_site_fract_z
_atom_site_occupancy
Ga1 0.0000 0.0000 0.0000 1
Re1 0.1000 0.4000 0.5000 1
Ag1 0.1916 0.6916 0.0000 1
# total magnetic moment	0.00	μB per cell
# formation energy from the elements	0.85	eV per atom
# uncorrected energy	-5.871	eV/atom

[3]
# Er5MgAg3 (GGA-PBE, relaxed)
data_Er5MgAg3
_chemical_formula_sum 'Er10 Mg2 Ag6'
_symmetry_space_group_name_H-M 'P 63/m c m'
_symmetry_Int_Tables_number 193
_symmetry_space_group_name_Hall '-P 6c 2'
_cell_length_a 8.9594
_cell_length_b 8.9594
_cell_length_c 6.5217
_cell_angle_alpha 90.00
_cell_angle_beta 90.00
_cell_angle_gamma 120.00
loop_
_atom_site_label
_atom_site_fract_x
_atom_site_fract_y
_atom_site_fract_z
_atom_site_occupancy
Er1 0.0000 0.3188 0.2500 1
Er2 0.3333 0.6667 0.0000 1
Mg1 0.0000 0.0000 0.0000 1
Ag1 0.0000 0.3507 0.7500 1
# total magnetic moment	0.00	μB per cell
# formation energy from the elements	-0.13	eV per atom
# uncorrected energy	-3.796	eV/atom

[4]
# La5ZnSi2 (GGA-PBE, relaxed)
data_La5ZnSi2
_chemical_formula_sum 'La20 Zn4 Si8'
_symmetry_space_group_name_H-M 'I 4/m c m'
_symmetry_Int_Tables_number 140
_symmetry_space_group_name_Hall '-I 4 2c'
_cell_length_a 7.9250
_cell_length_b 7.9250
_cell_length_c 14.6921
_cell_angle_alpha 90.00
_cell_angle_beta 90.00
_cell_angle_gamma 90.00
loop_
_atom_site_label
_atom_site_fract_x
_atom_site_fract_y
_atom_site_fract_z
_atom_site_occupancy
La1 0.0000 0.0000 0.0000 1
La2 0.1789 0.3211 0.1431 1
Zn1 0.0000 0.0000 0.2500 1
Si1 0.1120 0.3880 0.5000 1
# raw formation energy	-0.467	eV/atom
# total magnetic moment	0.00	μB per cell
# uncorrected energy	-5.061	eV/atom

[5]
# Ac2HoThP4 (GGA-PBE, relaxed)
data_Ac2HoThP4
_chemical_formula_sum 'Ac2 Ho1 Th1 P4'
_symmetry_space_group_name_H-M 'P 1 2/m 1'
_symmetry_Int_Tables_number 10
_symmetry_space_group_name_Hall '-P 2y'
_cell_length_a 7.3202
_cell_length_b 4.2446
_cell_length_c 7.4126
_cell_angle_alpha 90.00
_cell_angle_beta 109.30
_cell_angle_gamma 90.00
loop_
_atom_site_label
_atom_site_fract_x
_atom_site_fract_y
_atom_site_fract_z
_atom_site_occupancy
Ac1 0.0000 0.0000 0.0000 1
Ac2 0.5000 0.5000 0.0000 1
Ho1 0.0000 0.5000 0.5000 1
Th1 0.5000 0.0000 0.5000 1
P1 0.2402 0.0000 0.7265 1
P2 0.2547 0.5000 0.2723 1
# total magnetic moment	0.00	μB per cell
# formation energy from the elements	-1.51	eV per atom
# uncorrected energy	-6.745	eV/atom

[6]
# Cr2ReRh (GGA-PBE, relaxed)
data_Cr2ReRh
_chemical_formula_sum 'Cr8 Re4 Rh4'
_symmetry_space_group_name_H-M 'F -4 3 m'
_symmetry_Int_Tables_number 216
_symmetry_space_group_name_Hall 'F -4 2 3'
_cell_length_a 6.0283
_cell_length_b 6.0283
_cell_length_c 6.0283
_cell_angle_alpha 90.00
_cell_angle_beta 90.00
_cell_angle_gamma 90.00
loop_
_atom_site_label
_atom_site_fract_x
_atom_site_fract_y
_atom_site_fract_z
_atom_site_occupancy
Cr1 0.0000 0.0000 0.0000 1
Cr2 0.2500 0.2500 0.2500 1
Re1 0.2500 0.2500 0.7500 1
Rh1 0.0000 0.0000 0.5000 1
# total magnetic moment	11.64	μB per cell
# formation energy from the elements	0.22	eV per atom
# uncorrected energy	-9.542	eV/atom

[7]
# CuPd2Au4 (GGA-PBE, relaxed)
data_CuPd2Au4
_chemical_formula_sum 'Cu1 Pd2 Au4'
_symmetry_space_group_name_H-M 'P -1'
_symmetry_Int_Tables_number 2
_symmetry_space_group_name_Hall '-P 1'
_cell_length_a 4.0727
_cell_length_b 4.8968
_cell_length_c 6.4530
_cell_angle_alpha 98.19
_cell_angle_beta 90.03
_cell_angle_gamma 114.46
loop_
_atom_site_label
_atom_site_fract_x
_atom_site_fract_y
_atom_site_fract_z
_atom_site_occupancy
Cu1 0.0000 0.0000 0.0000 1
Pd1 0.4297 0.8589 0.2812 1
Au1 0.1400 0.2803 0.4224 1
Au2 0.2880 0.5757 0.8629 1
# total magnetic moment	0.00	μB per cell
# formation energy from the elements	-0.08	eV per atom
# uncorrected energy	-4.024	eV/atom

[8]
# TmZrHg6 (GGA-PBE, relaxed)
data_TmZrHg6
_chemical_formula_sum 'Tm1 Zr1 Hg6'
_symmetry_space_group_name_H-M 'P 4/m m m'
_symmetry_Int_Tables_number 123
_symmetry_space_group_name_Hall '-P 4 2'
_cell_length_a 4.6594
_cell_length_b 4.6594
_cell_length_c 8.4691
_cell_angle_alpha 90.00
_cell_angle_beta 90.00
_cell_angle_gamma 90.00
loop_
_atom_site_label
_atom_site_fract_x
_atom_site_fract_y
_atom_site_fract_z
_atom_site_occupancy
Tm1 0.0000 0.0000 0.0000 1
Zr1 0.0000 0.0000 0.5000 1
Hg1 0.0000 0.5000 0.2566 1
Hg2 0.5000 0.5000 0.0000 1
Hg3 0.5000 0.5000 0.5000 1
# total magnetic moment	0.00	μB per cell
# formation energy from the elements	-0.16	eV per atom
# uncorrected energy	-2.011	eV/atom

[9]
# Hf2CuNi (GGA-PBE, relaxed)
data_Hf2CuNi
_chemical_formula_sum 'Hf2 Cu1 Ni1'
_symmetry_space_group_name_H-M 'P 4/m m m'
_symmetry_Int_Tables_number 123
_symmetry_space_group_name_Hall '-P 4 2'
_cell_length_a 3.2148
_cell_length_b 3.2148
_cell_length_c 6.3808
_cell_angle_alpha 90.00
_cell_angle_beta 90.00
_cell_angle_gamma 90.00
loop_
_atom_site_label
_atom_site_fract_x
_atom_site_fract_y
_atom_site_fract_z
_atom_site_occupancy
Hf1 0.0000 0.0000 0.2445 1
Cu1 0.5000 0.5000 0.5000 1
Ni1 0.5000 0.5000 0.0000 1
# total magnetic moment	0.00	μB per cell
# formation energy from the elements	-0.26	eV per atom
# uncorrected energy	-7.710	eV/atom

[10]
# AcLa4P5 (GGA-PBE, relaxed)
data_AcLa4P5
_chemical_formula_sum 'Ac2 La8 P10'
_symmetry_space_group_name_H-M 'I m m m'
_symmetry_Int_Tables_number 71
_symmetry_space_group_name_Hall '-I 2 2'
_cell_length_a 4.3142
_cell_length_b 6.1021
_cell_length_c 21.5625
_cell_angle_alpha 90.00
_cell_angle_beta 90.00
_cell_angle_gamma 90.00
loop_
_atom_site_label
_atom_site_fract_x
_atom_site_fract_y
_atom_site_fract_z
_atom_site_occupancy
Ac1 0.0000 0.0000 0.0000 1
La1 0.0000 0.0000 0.2014 1
La2 0.0000 0.0000 0.3989 1
P1 0.0000 0.5000 0.0000 1
P2 0.0000 0.5000 0.1995 1
P3 0.0000 0.5000 0.3960 1
# total magnetic moment	0.00	μB per cell
# formation energy from the elements	-1.55	eV per atom
# uncorrected energy	-6.634	eV/atom

[11]
# LaTlOs2 (GGA-PBE, relaxed)
data_LaTlOs2
_chemical_formula_sum 'La2 Tl2 Os4'
_symmetry_space_group_name_H-M 'I -4 m 2'
_symmetry_Int_Tables_number 119
_symmetry_space_group_name_Hall 'I -4 -2'
_cell_length_a 4.1830
_cell_length_b 4.1830
_cell_length_c 9.2977
_cell_angle_alpha 90.00
_cell_angle_beta 90.00
_cell_angle_gamma 90.00
loop_
_atom_site_label
_atom_site_fract_x
_atom_site_fract_y
_atom_site_fract_z
_atom_site_occupancy
La1 0.0000 0.0000 0.0000 1
Tl1 0.0000 0.5000 0.2500 1
Os1 0.0000 0.0000 0.5000 1
Os2 0.0000 0.5000 0.7500 1
# total magnetic moment	0.02	μB per cell
# formation energy from the elements	0.78	eV per atom
# uncorrected energy	-6.662	eV/atom

[12]
# NdSm2Y5 (GGA-PBE, relaxed)
data_NdSm2Y5
_chemical_formula_sum 'Nd4 Sm8 Y20'
_symmetry_space_group_name_H-M 'C 1 2/c 1'
_symmetry_Int_Tables_number 15
_symmetry_space_group_name_Hall '-C 2yc'
_cell_length_a 16.4429
_cell_length_b 9.9745
_cell_length_c 6.5450
_cell_angle_alpha 90.00
_cell_angle_beta 97.94
_cell_angle_gamma 90.00
loop_
_atom_site_label
_atom_site_fract_x
_atom_site_fract_y
_atom_site_fract_z
_atom_site_occupancy
Nd1 0.2500 0.2500 0.0000 1
Sm1 0.0772 0.2460 0.1174 1
Y1 0.0000 0.4422 0.7500 1
Y2 0.0986 0.0901 0.6427 1
Y3 0.1963 0.4108 0.5219 1
# total magnetic moment	0.00	μB per cell
# formation energy from the elements	0.15	eV per atom
# uncorrected energy	-5.662	eV/atom

[13]
# CdFe3 (GGA-PBE, relaxed)
data_CdFe3
_chemical_formula_sum 'Cd2 Fe6'
_symmetry_space_group_name_H-M 'I m m m'
_symmetry_Int_Tables_number 71
_symmetry_space_group_name_Hall '-I 2 2'
_cell_length_a 3.0723
_cell_length_b 4.2978
_cell_length_c 8.3798
_cell_angle_alpha 90.00
_cell_angle_beta 90.00
_cell_angle_gamma 90.00
loop_
_atom_site_label
_atom_site_fract_x
_atom_site_fract_y
_atom_site_fract_z
_atom_site_occupancy
Cd1 0.0000 0.0000 0.0000 1
Fe1 0.0000 0.0000 0.5000 1
Fe2 0.0000 0.5000 0.2332 1
# total magnetic moment	15.02	μB per cell
# formation energy from the elements	0.29	eV per atom
# uncorrected energy	-6.284	eV/atom